MgCdHg3Pb, optimized geometry, DFT GGA-PBE; formation energy from the elements = -0.02 eV per atom; SG = P2_1/m, No. 11; V = 302.6 Å³/cell; calculated total energy = -1.21 eV/atom; Fermi-level density of states = 4.65 states/eV per cell; calculated density = 10.38 Mg/m³
1.0
-3.096 2.031 -0.163
-3.712 -5.194 5.751
5.369 8.484 3.733
Mg Pb Hg Cd
2 2 6 2
Direct
0.750 0.328 0.869
0.250 0.672 0.131
0.250 0.235 0.302
0.750 0.765 0.698
0.750 0.427 0.164
0.750 0.332 0.579
0.250 0.099 0.939
0.250 0.573 0.836
0.750 0.901 0.061
0.250 0.668 0.421
0.750 0.939 0.367
0.250 0.061 0.633

***

Mg2Cd2Hg7Pb, optimized geometry, DFT GGA-PBE; formation energy from the elements = -0.02 eV per atom; SG = Imm2, No. 44; V = 296.0 Å³/cell; calculated total energy = -0.93 eV/atom; Fermi-level density of states = 4.70 states/eV per cell; calculated density = 10.57 Mg/m³
1.0
5.630 0.000 0.000
0.000 5.646 0.000
-2.815 -2.823 9.313
Hg Mg Cd Pb
7 2 2 1
Direct
0.409 0.913 0.818
0.182 0.179 0.363
0.818 0.816 0.637
0.591 0.094 0.182
0.500 0.503 0.000
0.910 0.406 0.819
0.090 0.587 0.181
0.750 0.249 0.501
0.250 0.749 0.499
0.661 0.664 0.321
0.339 0.343 0.679
0.000 0.997 0.000

***

Mg2CdHgPb, optimized geometry, DFT GGA-PBE; formation energy from the elements = -0.05 eV per atom; SG = P2_1/m, No. 11; V = 244.4 Å³/cell; calculated total energy = -1.68 eV/atom; Fermi-level density of states = 4.46 states/eV per cell; calculated density = 7.73 Mg/m³
1.0
5.156 0.000 0.000
0.000 5.966 -0.387
0.000 -3.220 8.154
Pb Cd Mg Hg
2 2 4 2
Direct
0.250 0.828 0.888
0.750 0.172 0.112
0.750 0.773 0.281
0.250 0.227 0.719
0.250 0.118 0.336
0.750 0.515 0.897
0.250 0.485 0.103
0.750 0.882 0.664
0.250 0.676 0.464
0.750 0.324 0.536

***

MgCdHg2Pb, optimized geometry, DFT GGA-PBE; formation energy from the elements = 0.02 eV per atom; SG = P3m1, No. 156; V = 138.3 Å³/cell; calculated total energy = -1.34 eV/atom; Fermi-level density of states = 2.47 states/eV per cell; calculated density = 8.95 Mg/m³
1.0
-1.686 -3.844 2.237
3.757 -0.387 -2.891
4.315 1.273 5.438
Hg Cd Pb Mg
2 1 1 1
Direct
0.667 0.333 0.780
0.333 0.667 0.221
0.667 0.333 0.365
0.000 0.000 0.988
0.333 0.667 0.646

***

MgCd2Hg4Pb, optimized geometry, DFT GGA-PBE; formation energy from the elements = -0.02 eV per atom; SG = R-3m, No. 166; V = 196.8 Å³/cell; calculated total energy = -1.06 eV/atom; Fermi-level density of states = 2.85 states/eV per cell; calculated density = 10.62 Mg/m³
1.0
5.005 0.000 0.000
2.503 4.335 0.000
2.503 1.445 9.071
Hg Cd Mg Pb
4 2 1 1
Direct
0.614 0.614 0.158
0.132 0.132 0.605
0.868 0.868 0.395
0.386 0.386 0.842
0.750 0.750 0.750
0.250 0.250 0.250
0.500 0.500 0.500
0.000 0.000 0.000

***

Mg5Cd2Hg2Pb, optimized geometry, DFT GGA-PBE; formation energy from the elements = -0.04 eV per atom; SG = P4/mbm, No. 127; V = 486.7 Å³/cell; calculated total energy = -1.45 eV/atom; Fermi-level density of states = 8.96 states/eV per cell; calculated density = 6.51 Mg/m³
1.0
-2.610 1.187 -2.732
-1.464 -10.520 -3.174
-8.209 -1.082 7.371
Mg Hg Cd Pb
10 4 4 2
Direct
0.500 0.201 0.065
0.500 0.435 0.299
0.500 0.299 0.565
0.500 0.565 0.701
0.500 0.500 0.000
0.500 0.065 0.799
0.500 0.701 0.435
0.500 0.000 0.500
0.500 0.935 0.201
0.500 0.799 0.935
0.000 0.132 0.632
0.000 0.368 0.132
0.000 0.868 0.368
0.000 0.632 0.868
0.000 0.830 0.670
0.000 0.670 0.170
0.000 0.330 0.830
0.000 0.170 0.330
0.000 0.500 0.500
0.000 0.000 0.000

***

MgCdHg5Pb2, optimized geometry, DFT GGA-PBE; formation energy from the elements = -0.01 eV per atom; SG = Cmc2_1, No. 36; V = 476.2 Å³/cell; calculated total energy = -1.28 eV/atom; Fermi-level density of states = 4.29 states/eV per cell; calculated density = 10.84 Mg/m³
1.0
-0.420 -2.675 -2.543
-6.601 -3.405 7.387
-9.228 6.458 -5.269
Cd Pb Hg Mg
2 4 10 2
Direct
0.463 0.926 0.407
0.537 0.074 0.907
0.119 0.238 0.737
0.881 0.762 0.237
0.121 0.241 0.326
0.879 0.759 0.826
0.278 0.555 0.691
0.875 0.751 0.541
0.473 0.946 0.679
0.125 0.249 0.041
0.282 0.564 0.381
0.527 0.054 0.179
0.718 0.436 0.881
0.586 0.172 0.529
0.414 0.828 0.029
0.722 0.445 0.191
0.722 0.444 0.534
0.278 0.556 0.034

***

MgCdHgPb, optimized geometry, DFT GGA-PBE; polymorph energy (0 for the lowest one) = 0.0000 eV/atom; formation energy from the elements = -0.04 eV per atom; SG = P4mm, No. 99; V = 99.9 Å³/cell; calculated total energy = -1.67 eV/atom; Fermi-level density of states = 1.42 states/eV per cell; calculated density = 9.05 Mg/m³
1.0
-0.189 0.354 -3.273
2.979 -1.376 -0.321
-3.902 -8.288 -0.670
Hg Cd Mg Pb
1 1 1 1
Direct
0.500 0.500 0.785
0.500 0.500 0.353
0.000 0.000 0.577
0.000 0.000 0.070